# 1
First-principles (GGA-PBE) data for DyAgAsO after structural relaxation, as listed in OQMD.

The structure in CIF format:
```
data_DyAgAsO
_space_group_name_H-M_alt 'P m c 21'
_space_group_IT_number 26
_space_group_name_Hall 'P 2c -2'
_cell_length_a 3.7062
_cell_length_b 7.8648
_cell_length_c 5.9733
_cell_angle_alpha 90.00
_cell_angle_beta 90.00
_cell_angle_gamma 90.00
loop_
_atom_site_label
_atom_site_type_symbol
_atom_site_fract_x
_atom_site_fract_y
_atom_site_fract_z
Dy1 Dy 0.0000 0.2104 0.0000
Ag1 Ag 0.5000 0.3796 0.5149
As1 As 0.0000 0.1581 0.5000
O1 O 0.5000 0.3374 0.0034
```

Calculated values
* crystal system: orthorhombic
* total DFT energy (no corrections): -44.23 eV per cell
* V: 174.12 Å³ per cell

---

# 2
First-principles (GGA-PBE) data for Zr4Ge2CN after structural relaxation, as listed in OQMD.

The structure in CIF format:
```
data_Zr4Ge2CN
_space_group_name_H-M_alt 'P -3 m 1'
_space_group_IT_number 164
_space_group_name_Hall '-P 3 2"'
_cell_length_a 3.3118
_cell_length_b 3.3118
_cell_length_c 13.7538
_cell_angle_alpha 90.00
_cell_angle_beta 90.00
_cell_angle_gamma 120.00
loop_
_atom_site_label
_atom_site_type_symbol
_atom_site_fract_x
_atom_site_fract_y
_atom_site_fract_z
Zr1 Zr 0.3333 0.6667 0.0937
Zr2 Zr 0.3333 0.6667 0.4081
Ge1 Ge 0.3333 0.6667 0.7488
C1 C 0.0000 0.0000 0.0000
N1 N 0.0000 0.0000 0.5000
```

Calculated values
* crystal system: trigonal
* total DFT energy (no corrections): -68.85 eV per cell
* V: 130.64 Å³ per cell

---

# 3
First-principles (GGA-PBE) data for ErTmSi2Tc after structural relaxation, as listed in OQMD.

The structure in CIF format:
```
data_ErTmSi2Tc
_space_group_name_H-M_alt 'C 1 2/m 1'
_space_group_IT_number 12
_space_group_name_Hall '-C 2y'
_cell_length_a 10.6898
_cell_length_b 4.1534
_cell_length_c 9.9895
_cell_angle_alpha 90.00
_cell_angle_beta 118.22
_cell_angle_gamma 90.00
loop_
_atom_site_label
_atom_site_type_symbol
_atom_site_fract_x
_atom_site_fract_y
_atom_site_fract_z
Er1 Er 0.1877 0.0000 0.1103
Tm1 Tm 0.0052 0.0000 0.6771
Si1 Si 0.0038 0.5000 0.8783
Si2 Si 0.1397 0.5000 0.5595
Tc1 Tc 0.2274 0.5000 0.3700
```

Calculated values
* crystal system: monoclinic
* total DFT energy (no corrections): -136.31 eV per cell
* V: 390.80 Å³ per cell

---

# 4
First-principles (GGA-PBE) data for HgB after structural relaxation, as listed in OQMD.

The structure in CIF format:
```
data_HgB
_space_group_name_H-M_alt 'F -4 3 m'
_space_group_IT_number 216
_space_group_name_Hall 'F -4 2 3'
_cell_length_a 5.2647
_cell_length_b 5.2647
_cell_length_c 5.2647
_cell_angle_alpha 90.00
_cell_angle_beta 90.00
_cell_angle_gamma 90.00
loop_
_atom_site_label
_atom_site_type_symbol
_atom_site_fract_x
_atom_site_fract_y
_atom_site_fract_z
Hg1 Hg 0.0000 0.0000 0.0000
B1 B 0.2500 0.2500 0.2500
```

Calculated values
* crystal system: cubic
* total DFT energy (no corrections): -16.15 eV per cell
* V: 145.92 Å³ per cell